No. 1
Here is a crystal of Ca3FeC relaxed with PBEsol from the Alexandria database. Energies are from SCAN.

```
Ca3FeC
1.0
4.966 0.000 0.000
0.000 4.966 0.000
0.000 0.000 4.966
C Fe Ca
1 1 3
direct
0.000 0.000 0.000
0.500 0.500 0.500
0.000 0.500 0.000
0.500 0.000 0.000
0.000 0.000 0.500
```

Output
Formation energy from the elements ... 464 meV per atom
Total moment ... 3.62 μB/f.u.

No. 2
Here is a crystal of MnMoPb2 relaxed with PBEsol from the Alexandria database. Energies are from SCAN.

```
MnMoPb2
1.0
-2.548 -1.300 1.197
-0.849 -0.941 -2.829
4.170 -7.140 1.122
Mn Pb Mo
1 2 1
direct
0.000 0.000 0.550
0.500 0.500 0.314
0.000 0.000 0.946
0.500 0.500 0.689
```

Output
Formation energy from the elements ... 313 meV per atom
Total moment ... 1.67 μB/f.u.

No. 3
Here is a crystal of Co3Cu3Te2O12 relaxed with PBEsol from the Alexandria database. Energies are from SCAN.

```
Co3Cu3Te2O12
1.0
-0.842 -7.589 -2.870
4.229 4.476 -5.350
3.981 -0.210 7.117
Te Cu O Co
4 6 24 6
direct
0.981 0.000 0.000
0.000 0.500 0.481
0.519 0.519 0.019
0.500 0.981 0.500
0.250 0.978 0.728
0.228 0.250 0.478
0.522 0.272 0.250
0.272 0.750 0.022
0.978 0.228 0.750
0.750 0.522 0.772
0.511 0.958 0.760
0.227 0.694 0.757
0.260 0.511 0.458
0.542 0.553 0.303
0.030 0.967 0.773
0.062 0.806 0.033
0.803 0.542 0.053
0.749 0.947 0.489
0.553 0.803 0.042
0.533 0.062 0.306
0.967 0.273 0.530
0.947 0.989 0.249
0.243 0.438 0.970
0.958 0.260 0.011
0.257 0.227 0.194
0.806 0.533 0.562
0.438 0.470 0.743
0.751 0.240 0.197
0.240 0.697 0.251
0.273 0.030 0.467
0.470 0.243 0.938
0.697 0.751 0.740
0.989 0.749 0.447
0.694 0.257 0.727
0.035 0.785 0.250
0.715 0.250 0.965
0.465 0.715 0.750
0.750 0.035 0.285
0.250 0.465 0.215
0.785 0.750 0.535
```

Output
Total moment ... 2.40 μB/f.u.
Formation energy without anion corrections ... -1.003 eV per atom

No. 4
Here is a crystal of Tl5Hg relaxed with PBEsol from the Alexandria database. Energies are from SCAN.

```
Tl5Hg
1.0
3.584 0.000 0.000
-1.792 6.155 -0.125
0.000 -2.243 7.497
Tl Hg
5 1
direct
0.385 0.771 0.244
0.682 0.364 0.351
0.700 0.400 0.926
0.347 0.694 0.704
0.043 0.086 0.586
0.009 0.018 0.022
```

Output
Formation energy from the elements ... 6 meV per atom
Total moment ... 0.00 μB/f.u.

No. 5
Here is a crystal of ZrSc2Mo relaxed with PBEsol from the Alexandria database. Energies are from SCAN.

```
ZrSc2Mo
1.0
3.003 0.000 0.003
0.000 4.691 0.000
-1.458 0.000 5.606
Mo Sc Zr
1 2 1
direct
0.500 0.500 0.500
0.893 0.000 0.733
0.107 0.000 0.267
0.500 0.500 0.000
```

Output
Formation energy from the elements ... 153 meV per atom
Total moment ... 0.00 μB/f.u.

No. 6
Here is a crystal of La2Se3 relaxed with PBEsol from the Alexandria database. Energies are from SCAN.

```
La2Se3
1.0
-1.055 -2.538 -3.948
0.145 -2.173 4.289
-6.985 1.419 0.955
La Se
2 3
direct
0.333 0.667 0.766
0.667 0.333 0.234
0.333 0.667 0.349
0.667 0.333 0.651
0.000 0.000 0.000
```

Output
Total moment ... 0.00 μB/f.u.
Formation energy without anion corrections ... -2.228 eV per atom

No. 7
Here is a crystal of Cr2NiIr relaxed with PBEsol from the Alexandria database. Energies are from SCAN.

```
Cr2NiIr
1.0
3.570 0.000 0.000
0.000 3.570 0.000
-1.785 -1.785 3.673
Cr Ni Ir
2 1 1
direct
0.750 0.250 0.500
0.250 0.750 0.500
0.000 0.000 0.000
0.500 0.500 0.000
```

Output
Formation energy from the elements ... -137 meV per atom
Total moment ... 0.84 μB/f.u.

No. 8
Here is a crystal of KCa2Re relaxed with PBEsol from the Alexandria database. Energies are from SCAN.

```
KCa2Re
1.0
3.399 0.000 0.000
1.700 2.944 0.000
1.700 0.981 11.915
Re Ca K
1 2 1
direct
0.000 0.000 0.000
0.727 0.727 0.818
0.273 0.273 0.182
0.500 0.500 0.500
```

Output
Formation energy from the elements ... 900 meV per atom
Total moment ... 0.33 μB/f.u.

No. 9
Here is a crystal of CsTi2O3F3 relaxed with PBEsol from the Alexandria database. Energies are from SCAN.

```
CsTi2O3F3
1.0
7.146 0.004 0.000
-0.113 7.145 0.000
-3.516 -3.574 5.286
Ti F O Cs
4 6 6 2
direct
0.883 0.126 0.741
0.385 0.142 0.259
0.858 0.615 0.741
0.874 0.117 0.259
0.795 0.795 0.000
0.802 0.198 0.000
0.553 0.053 0.500
0.198 0.802 0.000
0.947 0.447 0.500
0.205 0.205 0.000
0.164 0.164 0.328
0.567 0.067 0.134
0.938 0.062 0.500
0.836 0.836 0.672
0.933 0.433 0.866
0.562 0.438 0.500
0.250 0.750 0.500
0.500 0.500 0.000
```

Output
Total moment ... 0.00 μB/f.u.
Formation energy without anion corrections ... -3.343 eV per atom

No. 10
Here is a crystal of LiAgPb relaxed with PBEsol from the Alexandria database. Energies are from SCAN.

```
LiAgPb
1.0
4.425 0.000 0.000
2.213 3.832 0.000
2.213 1.277 3.613
Ag Li Pb
1 1 1
direct
0.500 0.500 0.500
0.250 0.250 0.250
0.000 0.000 0.000
```

Output
Formation energy from the elements ... -18 meV per atom
Total moment ... 0.00 μB/f.u.

No. 11
Here is a crystal of ErSi relaxed with PBEsol from the Alexandria database. Energies are from SCAN.

```
ErSi
1.0
3.761 0.000 0.000
0.000 4.181 0.000
0.000 2.090 5.166
Er Si
2 2
direct
0.750 0.859 0.281
0.250 0.141 0.719
0.750 0.577 0.845
0.250 0.423 0.155
```

Output
Total moment ... 0.00 μB/f.u.
Formation energy without anion corrections ... -0.857 eV per atom

No. 12
Here is a crystal of LiCu2Ni relaxed with PBEsol from the Alexandria database. Energies are from SCAN.

```
LiCu2Ni
1.0
-0.826 -2.280 -0.168
2.377 0.220 -0.459
1.666 -1.197 8.059
Ni Cu Li
1 2 1
direct
0.500 0.500 0.248
0.500 0.500 0.754
0.000 0.000 0.005
0.000 0.000 0.493
```

Output
Formation energy from the elements ... 45 meV per atom
Total moment ... 0.00 μB/f.u.